1.
The following is a PBE calculation of an optimized crystal structure of Li12OsN6, from Alexandria.

Values from the calculation:
- DOS at the Fermi energy (states/eV per atom) = 0.2607
- formation energy (no corrections) (eV per atom) = -0.2519
- SG = R-3, No. 148

The structure in CIF format:
```
data_Li12OsN6
_chemical_formula_sum 'Li12 Os1 N6'
_cell_length_a 6.5550
_cell_length_b 6.5550
_cell_length_c 6.5550
_cell_angle_alpha 112.52
_cell_angle_beta 112.52
_cell_angle_gamma 112.52
_space_group_name_H-M_alt 'P 1'
_space_group_IT_number 1
_space_group_name_Hall 'P 1'
loop_
_atom_site_label
_atom_site_type_symbol
_atom_site_fract_x
_atom_site_fract_y
_atom_site_fract_z
Li1 Li 0.4140 0.2024 0.5197
Li2 Li 0.2024 0.5197 0.4140
Li3 Li 0.5197 0.4140 0.2024
Li4 Li 0.5860 0.7976 0.4803
Li5 Li 0.7976 0.4803 0.5860
Li6 Li 0.4803 0.5860 0.7976
Li7 Li 0.2970 0.9233 0.8101
Li8 Li 0.1899 0.7030 0.0767
Li9 Li 0.0767 0.1899 0.7030
Li10 Li 0.7030 0.0767 0.1899
Li11 Li 0.8101 0.2970 0.9233
Li12 Li 0.9233 0.8101 0.2970
Os1 Os 0.0000 0.0000 0.0000
N1 N 0.0853 0.1912 0.3990
N2 N 0.8088 0.6010 0.9147
N3 N 0.6010 0.9147 0.8088
N4 N 0.9147 0.8088 0.6010
N5 N 0.1912 0.3990 0.0853
N6 N 0.3990 0.0853 0.1912
```


2.
The following is a PBE calculation of an optimized crystal structure of GaOs2Cl, from Alexandria.

Values from the calculation:
- DOS at the Fermi energy (states/eV per atom) = 1.2428
- formation energy (no corrections) (eV per atom) = 1.0673
- excess energy over the best structure of this formula in the dataset (meV/atom) = 0.0
- SG = Fm-3m, No. 225

The structure in CIF format:
```
data_GaOs2Cl
_chemical_formula_sum 'Ga1 Os2 Cl1'
_cell_length_a 4.3519
_cell_length_b 4.3519
_cell_length_c 4.3519
_cell_angle_alpha 60.00
_cell_angle_beta 60.00
_cell_angle_gamma 60.00
_space_group_name_H-M_alt 'P 1'
_space_group_IT_number 1
_space_group_name_Hall 'P 1'
loop_
_atom_site_label
_atom_site_type_symbol
_atom_site_fract_x
_atom_site_fract_y
_atom_site_fract_z
Os1 Os 0.2500 0.2500 0.2500
Os2 Os 0.7500 0.7500 0.7500
Ga1 Ga 0.5000 0.5000 0.5000
Cl1 Cl 0.0000 0.0000 0.0000
```


3.
The following is a PBE calculation of an optimized crystal structure of BaMg2CdCo, from Alexandria.

Values from the calculation:
- formation energy (eV/atom) = 0.013
- DOS at the Fermi energy (states/eV per atom) = 0.4685
- SG = P4/mmm, No. 123

The structure in CIF format:
```
data_BaMg2CdCo
_chemical_formula_sum 'Ba1 Mg2 Cd1 Co1'
_cell_length_a 5.0012
_cell_length_b 5.0012
_cell_length_c 5.2199
_cell_angle_alpha 90.00
_cell_angle_beta 90.00
_cell_angle_gamma 90.00
_space_group_name_H-M_alt 'P 1'
_space_group_IT_number 1
_space_group_name_Hall 'P 1'
loop_
_atom_site_label
_atom_site_type_symbol
_atom_site_fract_x
_atom_site_fract_y
_atom_site_fract_z
Mg1 Mg 0.0000 0.5000 0.0000
Mg2 Mg 0.5000 0.0000 0.0000
Co1 Co 0.0000 0.0000 0.0000
Ba1 Ba 0.5000 0.5000 0.5000
Cd1 Cd 0.0000 0.0000 0.5000
```